Record 1
TaCrCl2 after structural relaxation. Source: Alexandria, functional PBE.

Cell lengths 5.3583, 5.3583, 3.0923 Å; angles 69.37, 69.37, 104.69 degrees
With the nearest neighbours (Å) after each atom.
Element x y z (fractional)
Ta 0.0000 0.5000 0.5000  4 Cl 2.58
Cl 0.0000 0.0000 0.0000  2 Ta 2.58, 2 Cr 2.58
Cl 0.5000 0.5000 0.0000  2 Cr 2.58, 2 Ta 2.58
Cr 0.5000 0.0000 0.5000  4 Cl 2.58

## Properties
Space-group type = No. 12
Magnetization = 3.4 μB/f.u.
Crystal system = monoclinic
ΔE_f (raw) = 0.99 eV per formula unit
E above lowest polymorph = 645 meV/atom

Record 2
Cd2SnHO after structural relaxation. Source: Alexandria, functional PBE.

Cell lengths 3.9937, 5.7415, 3.9937 Å; angles 90.00, 90.00, 90.00 degrees
With the nearest neighbours (Å) after each atom.
Element x y z (fractional)
Sn 0.0000 0.5000 0.0000  4 O 2.82, 2 H 2.87
Cd 0.5000 0.0000 0.0000  2 H 2.00
Cd 0.0000 0.0000 0.5000  2 H 2.00
H 0.0000 0.0000 0.0000  4 Cd 2.00
O 0.5000 0.5000 0.5000  4 Sn 2.82

## Properties
Space-group type = No. 123
Magnetization = 0.0 μB/f.u.
Crystal system = tetragonal
Electronic total energy = -0.09237 Ha/atom

Record 3
KSrAgSn after structural relaxation. Source: Alexandria, functional PBE.

Cell lengths 5.4663, 5.4663, 5.4663 Å; angles 60.00, 60.00, 60.00 degrees
With the nearest neighbours (Å) after each atom.
Element x y z (fractional)
Ag 0.5000 0.5000 0.5000  4 Sn 3.35, 4 K 3.35
Sr 0.0000 0.0000 0.0000  4 Sn 3.35, 4 K 3.35
Sn 0.2500 0.2500 0.2500  4 Sr 3.35, 4 Ag 3.35
K 0.7500 0.7500 0.7500  4 Sr 3.35, 4 Ag 3.35

## Properties
Space-group type = No. 216
Magnetization = 0.0 μB/f.u.
Crystal system = cubic
Electronic total energy = -0.09554 Ha/atom

Record 4
NiSeS2 after structural relaxation. Source: Alexandria, functional PBE.

Cell lengths 7.4275, 7.4275, 7.4275 Å; angles 26.78, 26.78, 26.78 degrees
With the nearest neighbours (Å) after each atom.
Element x y z (fractional)
Se 0.0000 0.0000 0.0000  2 S 2.41
Ni 0.5000 0.5000 0.5000  6 S 2.31
S 0.8878 0.8878 0.8878  3 Ni 2.31, 1 Se 2.41
S 0.1122 0.1122 0.1122  3 Ni 2.31, 1 Se 2.41

## Properties
Space-group type = No. 166
Magnetization = 0.0 μB/f.u.
Crystal system = trigonal
ΔE_f (raw) = -0.28 eV per formula unit

The highest magnetization belongs to which entry? TaCrCl2

Which value of magnetization does entry 2 give? 0.0 μB/f.u.

What is the magnetization in the second record? 0.0 μB/f.u.

magnetization of number 2 (Cd2SnHO)? 0.0 μB/f.u.